# 1
# KNaCo3 PBE relaxed
data_KNaCo3
_space_group_name_H-M_alt 'P m -3 m'
_space_group_IT_number 221
_space_group_name_Hall '-P 4 2 3'
_cell_length_a 4.9028
_cell_length_b 4.9028
_cell_length_c 4.9028
_cell_angle_alpha 90.00
_cell_angle_beta 90.00
_cell_angle_gamma 90.00
loop_
_atom_site_label
_atom_site_type_symbol
_atom_site_fract_x
_atom_site_fract_y
_atom_site_fract_z
K1 K 0.0000 0.0000 0.0000
Na1 Na 0.5000 0.5000 0.5000
Co1 Co 0.0000 0.0000 0.5000
# Energy above the lowest structure with this stoichiometry = 412 meV/atom
# Spin magnetization = 4.9 μB/cell
# Calculated formation energy = 11.4 eV/f.u.

=====

# 2
# RbAlIN2 PBE relaxed
data_RbAlIN2
_space_group_name_H-M_alt 'P 4/m m m'
_space_group_IT_number 123
_space_group_name_Hall '-P 4 2'
_cell_length_a 4.3502
_cell_length_b 4.3502
_cell_length_c 5.7625
_cell_angle_alpha 90.00
_cell_angle_beta 90.00
_cell_angle_gamma 90.00
loop_
_atom_site_label
_atom_site_type_symbol
_atom_site_fract_x
_atom_site_fract_y
_atom_site_fract_z
Rb1 Rb 0.0000 0.0000 0.0000
Al1 Al 0.5000 0.5000 0.5000
I1 I 0.5000 0.5000 0.0000
N1 N 0.0000 0.5000 0.5000
# Energy above the lowest structure with this stoichiometry = 0 meV/atom
# Spin magnetization = 3.0 μB/cell
# ΔE_f (raw) = 0.665 eV per atom

=====

# 3
# TmThAl2 PBE relaxed
data_TmThAl2
_space_group_name_H-M_alt 'P n m a'
_space_group_IT_number 62
_space_group_name_Hall '-P 2ac 2n'
_cell_length_a 7.9206
_cell_length_b 4.4195
_cell_length_c 11.1312
_cell_angle_alpha 90.00
_cell_angle_beta 90.00
_cell_angle_gamma 90.00
loop_
_atom_site_label
_atom_site_type_symbol
_atom_site_fract_x
_atom_site_fract_y
_atom_site_fract_z
Tm1 Tm 0.0468 0.2500 0.1028
Th1 Th 0.2139 0.7500 0.3156
Al1 Al 0.0774 0.7500 0.6388
Al2 Al 0.1950 0.2500 0.5248
# Energy above the lowest structure with this stoichiometry = 0 meV/atom
# Spin magnetization = 0.0 μB/cell
# Calculated formation energy = -1.2 eV/f.u.

=====

# 4
# Tm2ZrTe2N2 PBE relaxed
data_Tm2ZrTe2N2
_space_group_name_H-M_alt 'I 4/m m m'
_space_group_IT_number 139
_space_group_name_Hall '-I 4 2'
_cell_length_a 4.2034
_cell_length_b 4.2034
_cell_length_c 17.3100
_cell_angle_alpha 90.00
_cell_angle_beta 90.00
_cell_angle_gamma 90.00
loop_
_atom_site_label
_atom_site_type_symbol
_atom_site_fract_x
_atom_site_fract_y
_atom_site_fract_z
Tm1 Tm 0.0000 0.0000 0.0920
Zr1 Zr 0.0000 0.0000 0.5000
Te1 Te 0.0000 0.0000 0.3275
N1 N 0.0000 0.5000 0.0000
# Spin magnetization = 0.0 μB/cell
# ΔE_f (raw) = -1.320 eV per atom

=====

# 5
# SiC2N PBE relaxed
data_SiC2N
_space_group_name_H-M_alt 'I -4 2 d'
_space_group_IT_number 122
_space_group_name_Hall 'I -4 2bw'
_cell_length_a 4.1095
_cell_length_b 4.1095
_cell_length_c 7.9538
_cell_angle_alpha 90.00
_cell_angle_beta 90.00
_cell_angle_gamma 90.00
loop_
_atom_site_label
_atom_site_type_symbol
_atom_site_fract_x
_atom_site_fract_y
_atom_site_fract_z
Si1 Si 0.0000 0.0000 0.0000
C1 C 0.2064 0.2500 0.6250
N1 N 0.0000 0.0000 0.5000
# Energy above the lowest structure with this stoichiometry = 0 meV/atom
# Spin magnetization = 0.0 μB/cell
# ΔE_f (raw) = 1.187 eV per atom

=====

# 6
# TiGaS2 PBE relaxed
data_TiGaS2
_space_group_name_H-M_alt 'I -4 2 d'
_space_group_IT_number 122
_space_group_name_Hall 'I -4 2bw'
_cell_length_a 6.3767
_cell_length_b 6.3767
_cell_length_c 10.2458
_cell_angle_alpha 90.00
_cell_angle_beta 90.00
_cell_angle_gamma 90.00
loop_
_atom_site_label
_atom_site_type_symbol
_atom_site_fract_x
_atom_site_fract_y
_atom_site_fract_z
Ti1 Ti 0.0000 0.0000 0.0000
Ga1 Ga 0.0000 0.0000 0.5000
S1 S 0.1780 0.2500 0.1250
# Spin magnetization = 4.0 μB/cell
# ΔE_f (raw) = -0.678 eV per atom

=====

# 7
# NdTmNiIr PBE relaxed
data_NdTmNiIr
_space_group_name_H-M_alt 'F -4 3 m'
_space_group_IT_number 216
_space_group_name_Hall 'F -4 2 3'
_cell_length_a 6.8961
_cell_length_b 6.8961
_cell_length_c 6.8961
_cell_angle_alpha 90.00
_cell_angle_beta 90.00
_cell_angle_gamma 90.00
loop_
_atom_site_label
_atom_site_type_symbol
_atom_site_fract_x
_atom_site_fract_y
_atom_site_fract_z
Nd1 Nd 0.0000 0.0000 0.0000
Tm1 Tm 0.0000 0.0000 0.5000
Ni1 Ni 0.2500 0.2500 0.7500
Ir1 Ir 0.2500 0.2500 0.2500
# Spin magnetization = 0.0 μB/cell
# Calculated formation energy = -2.2 eV/f.u.

=====

# 8
# Hf2AsC PBE relaxed
data_Hf2AsC
_space_group_name_H-M_alt 'F m -3 m'
_space_group_IT_number 225
_space_group_name_Hall '-F 4 2 3'
_cell_length_a 6.3070
_cell_length_b 6.3070
_cell_length_c 6.3070
_cell_angle_alpha 90.00
_cell_angle_beta 90.00
_cell_angle_gamma 90.00
loop_
_atom_site_label
_atom_site_type_symbol
_atom_site_fract_x
_atom_site_fract_y
_atom_site_fract_z
Hf1 Hf 0.2500 0.2500 0.2500
As1 As 0.0000 0.0000 0.0000
C1 C 0.0000 0.0000 0.5000
# Spin magnetization = 0.0 μB/cell
# Calculated formation energy = 0.7 eV/f.u.

=====

# 9
# CrTc2Pb PBE relaxed
data_CrTc2Pb
_space_group_name_H-M_alt 'P m m m'
_space_group_IT_number 47
_space_group_name_Hall '-P 2 2'
_cell_length_a 2.9164
_cell_length_b 3.6958
_cell_length_c 6.2866
_cell_angle_alpha 90.00
_cell_angle_beta 90.00
_cell_angle_gamma 90.00
loop_
_atom_site_label
_atom_site_type_symbol
_atom_site_fract_x
_atom_site_fract_y
_atom_site_fract_z
Cr1 Cr 0.0000 0.0000 0.0000
Tc1 Tc 0.5000 0.5000 0.1903
Pb1 Pb 0.0000 0.0000 0.5000
# Energy above the lowest structure with this stoichiometry = 79 meV/atom
# Spin magnetization = 0.7 μB/cell
# Calculated formation energy = 2.2 eV/f.u.

=====

# 10
# Nb2CuSn PBE relaxed
data_Nb2CuSn
_space_group_name_H-M_alt 'P 4/m m m'
_space_group_IT_number 123
_space_group_name_Hall '-P 4 2'
_cell_length_a 3.9808
_cell_length_b 3.9808
_cell_length_c 4.4223
_cell_angle_alpha 90.00
_cell_angle_beta 90.00
_cell_angle_gamma 90.00
loop_
_atom_site_label
_atom_site_type_symbol
_atom_site_fract_x
_atom_site_fract_y
_atom_site_fract_z
Nb1 Nb 0.0000 0.5000 0.0000
Cu1 Cu 0.0000 0.0000 0.5000
Sn1 Sn 0.5000 0.5000 0.5000
# Spin magnetization = 0.0 μB/cell
# Calculated formation energy = -0.3 eV/f.u.

=====

# 11
# Si3Ni PBE relaxed
data_Si3Ni
_space_group_name_H-M_alt 'R -3 m'
_space_group_IT_number 166
_space_group_name_Hall '-R 3 2"'
_cell_length_a 7.2748
_cell_length_b 7.2748
_cell_length_c 3.7763
_cell_angle_alpha 90.00
_cell_angle_beta 90.00
_cell_angle_gamma 120.00
loop_
_atom_site_label
_atom_site_type_symbol
_atom_site_fract_x
_atom_site_fract_y
_atom_site_fract_z
Si1 Si 0.0000 0.5000 0.0000
Ni1 Ni 0.0000 0.0000 0.0000
# Spin magnetization = 0.0 μB/cell
# ΔE_f (raw) = 0.218 eV per atom

=====

# 12
# CrHgRu PBE relaxed
data_CrHgRu
_space_group_name_H-M_alt 'P 3 m 1'
_space_group_IT_number 156
_space_group_name_Hall 'P 3 -2"'
_cell_length_a 2.8236
_cell_length_b 2.8236
_cell_length_c 6.8230
_cell_angle_alpha 90.00
_cell_angle_beta 90.00
_cell_angle_gamma 120.00
loop_
_atom_site_label
_atom_site_type_symbol
_atom_site_fract_x
_atom_site_fract_y
_atom_site_fract_z
Cr1 Cr 0.0000 0.0000 0.0000
Hg1 Hg 0.3333 0.6667 0.3557
Ru1 Ru 0.6667 0.3333 0.7297
# Energy above the lowest structure with this stoichiometry = 98 meV/atom
# Spin magnetization = 0.0 μB/cell
# Calculated formation energy = 1.3 eV/f.u.

=====

# 13
# Dy4GeC2 PBE relaxed
data_Dy4GeC2
_space_group_name_H-M_alt 'C m c m'
_space_group_IT_number 63
_space_group_name_Hall '-C 2c 2'
_cell_length_a 3.7391
_cell_length_b 12.2567
_cell_length_c 12.5187
_cell_angle_alpha 90.00
_cell_angle_beta 90.00
_cell_angle_gamma 90.00
loop_
_atom_site_label
_atom_site_type_symbol
_atom_site_fract_x
_atom_site_fract_y
_atom_site_fract_z
Dy1 Dy 0.0000 0.0000 0.0000
Dy2 Dy 0.0000 0.2665 0.1065
Dy3 Dy 0.0000 0.4328 0.7500
Ge1 Ge 0.0000 0.1100 0.7500
C1 C 0.0000 0.3636 0.5602
# Spin magnetization = 0.3 μB/cell
# Calculated formation energy = -3.3 eV/f.u.

=====

# 14
# CaTeSe PBE relaxed
data_CaTeSe
_space_group_name_H-M_alt 'C 1 m 1'
_space_group_IT_number 8
_space_group_name_Hall 'C -2y'
_cell_length_a 7.4523
_cell_length_b 5.2612
_cell_length_c 5.7038
_cell_angle_alpha 90.00
_cell_angle_beta 113.14
_cell_angle_gamma 90.00
loop_
_atom_site_label
_atom_site_type_symbol
_atom_site_fract_x
_atom_site_fract_y
_atom_site_fract_z
Ca1 Ca 0.0000 0.0000 0.0000
Te1 Te 0.4700 0.0000 0.3005
Se1 Se 0.0641 0.5000 0.7990
# Energy above the lowest structure with this stoichiometry = 33 meV/atom
# Spin magnetization = 0.0 μB/cell
# ΔE_f (raw) = -1.090 eV per atom

=====

# 15
# BePb2Br6 PBE relaxed
data_BePb2Br6
_space_group_name_H-M_alt 'C 1 2/m 1'
_space_group_IT_number 12
_space_group_name_Hall '-C 2y'
_cell_length_a 13.9227
_cell_length_b 4.3718
_cell_length_c 12.8950
_cell_angle_alpha 90.00
_cell_angle_beta 117.55
_cell_angle_gamma 90.00
loop_
_atom_site_label
_atom_site_type_symbol
_atom_site_fract_x
_atom_site_fract_y
_atom_site_fract_z
Be1 Be 0.0000 0.0000 0.0000
Pb1 Pb 0.1563 0.5000 0.3284
Br1 Br 0.0077 0.0000 0.7513
Br2 Br 0.1602 0.5000 0.5531
Br3 Br 0.1607 0.0000 0.0865
# Spin magnetization = 0.0 μB/cell
# ΔE_f (raw) = -0.816 eV per atom

=====

# 16
# Ga6Sn2Pb5 PBE relaxed
data_Ga6Sn2Pb5
_space_group_name_H-M_alt 'R -3 m'
_space_group_IT_number 166
_space_group_name_Hall '-R 3 2"'
_cell_length_a 7.6332
_cell_length_b 7.6332
_cell_length_c 27.8430
_cell_angle_alpha 90.00
_cell_angle_beta 90.00
_cell_angle_gamma 120.00
loop_
_atom_site_label
_atom_site_type_symbol
_atom_site_fract_x
_atom_site_fract_y
_atom_site_fract_z
Ga1 Ga 0.0000 0.3333 0.0000
Sn1 Sn 0.0000 0.0000 0.3962
Pb1 Pb 0.0000 0.0000 0.0693
Pb2 Pb 0.0000 0.0000 0.2615
Pb3 Pb 0.0000 0.0000 0.5000
# Spin magnetization = 0.0 μB/cell
# Calculated formation energy = 4.2 eV/f.u.

=====

# 17
# ZnCuRh2 PBE relaxed
data_ZnCuRh2
_space_group_name_H-M_alt 'P 4 m m'
_space_group_IT_number 99
_space_group_name_Hall 'P 4 -2'
_cell_length_a 2.7775
_cell_length_b 2.7775
_cell_length_c 7.0692
_cell_angle_alpha 90.00
_cell_angle_beta 90.00
_cell_angle_gamma 90.00
loop_
_atom_site_label
_atom_site_type_symbol
_atom_site_fract_x
_atom_site_fract_y
_atom_site_fract_z
Zn1 Zn 0.0000 0.0000 0.0000
Cu1 Cu 0.5000 0.5000 0.2372
Rh1 Rh 0.0000 0.0000 0.4879
Rh2 Rh 0.5000 0.5000 0.7471
# Spin magnetization = 0.0 μB/cell
# Calculated formation energy = -0.4 eV/f.u.

=====

# 18
# Ca2BeBr PBE relaxed
data_Ca2BeBr
_space_group_name_H-M_alt 'P 4/m m m'
_space_group_IT_number 123
_space_group_name_Hall '-P 4 2'
_cell_length_a 3.5647
_cell_length_b 3.5647
_cell_length_c 8.0164
_cell_angle_alpha 90.00
_cell_angle_beta 90.00
_cell_angle_gamma 90.00
loop_
_atom_site_label
_atom_site_type_symbol
_atom_site_fract_x
_atom_site_fract_y
_atom_site_fract_z
Ca1 Ca 0.0000 0.0000 0.2176
Be1 Be 0.5000 0.5000 0.0000
Br1 Br 0.5000 0.5000 0.5000
# Energy above the lowest structure with this stoichiometry = 41 meV/atom
# Spin magnetization = 0.0 μB/cell
# ΔE_f (raw) = -0.419 eV per atom

=====

# 19
# Tl2InRhSe PBE relaxed
data_Tl2InRhSe
_space_group_name_H-M_alt 'P 4/m m m'
_space_group_IT_number 123
_space_group_name_Hall '-P 4 2'
_cell_length_a 6.0103
_cell_length_b 6.0103
_cell_length_c 5.2035
_cell_angle_alpha 90.00
_cell_angle_beta 90.00
_cell_angle_gamma 90.00
loop_
_atom_site_label
_atom_site_type_symbol
_atom_site_fract_x
_atom_site_fract_y
_atom_site_fract_z
Tl1 Tl 0.0000 0.5000 0.0000
In1 In 0.0000 0.0000 0.5000
Rh1 Rh 0.5000 0.5000 0.5000
Se1 Se 0.0000 0.0000 0.0000
# Spin magnetization = 1.3 μB/cell
# ΔE_f (raw) = 0.856 eV per atom

=====

# 20
# Tb5Sc2Cd PBE relaxed
data_Tb5Sc2Cd
_space_group_name_H-M_alt 'I 4 m m'
_space_group_IT_number 107
_space_group_name_Hall 'I 4 -2'
_cell_length_a 7.9238
_cell_length_b 7.9238
_cell_length_c 7.3058
_cell_angle_alpha 90.00
_cell_angle_beta 90.00
_cell_angle_gamma 90.00
loop_
_atom_site_label
_atom_site_type_symbol
_atom_site_fract_x
_atom_site_fract_y
_atom_site_fract_z
Tb1 Tb 0.0000 0.0000 0.0000
Tb2 Tb 0.2292 0.2292 0.6941
Sc1 Sc 0.0000 0.5000 0.4398
Cd1 Cd 0.0000 0.0000 0.4269
# Spin magnetization = 0.0 μB/cell
# Calculated formation energy = 0.0 eV/f.u.